Record 1
{"formula": "Ho2HgO", "functional": "PBE", "state": "relaxed", "lattice_angstrom": [[4.458, 0.000, 0.000], [0.000, 6.235, -1.337], [0.000, -0.494, 6.358]], "species": ["Ho", "Ho", "Ho", "Ho", "Hg", "Hg", "O", "O"], "fractional_positions": [[0.000, 0.000, 0.500], [0.000, 0.000, 0.000], [0.000, 0.500, 0.000], [0.500, 0.500, 0.500], [0.500, 0.205, 0.795], [0.500, 0.795, 0.205], [0.000, 0.702, 0.702], [0.000, 0.298, 0.298]], "total_magnetization_mub_per_fu": 0.000, "dos_at_fermi_per_ev_atom": 0.59, "final_energy_ev_per_cell": -39.649, "crystal_system": "orthorhombic"}



Record 2
{"formula": "K2RbTl2", "functional": "PBE", "state": "relaxed", "lattice_angstrom": [[5.692, 0.000, 0.000], [0.000, 5.692, 0.000], [2.846, 2.846, 7.766]], "species": ["Tl", "Tl", "K", "K", "Rb"], "fractional_positions": [[0.405, 0.405, 0.190], [0.595, 0.595, 0.810], [0.750, 0.250, 0.500], [0.250, 0.750, 0.500], [0.000, 0.000, 0.000]], "total_magnetization_mub_per_fu": 0.000, "dos_at_fermi_per_ev_atom": 0.79, "formation_enthalpy_0k_ev_per_atom": 0.0083, "final_energy_ev_per_cell": -7.854, "crystal_system": "tetragonal"}



Record 3
{"formula": "Ta4Co2N", "functional": "PBE", "state": "relaxed", "lattice_angstrom": [[-5.443, 4.139, 4.542], [-0.088, -0.925, 8.156], [2.516, 6.124, 4.853]], "species": ["Ta", "Ta", "Ta", "Ta", "Ta", "Ta", "Ta", "Ta", "Ta", "Ta", "Ta", "Ta", "Ta", "Ta", "Ta", "Ta", "Co", "Co", "Co", "Co", "Co", "Co", "Co", "Co", "N", "N", "N", "N"], "fractional_positions": [[0.125, 0.625, 0.625], [0.625, 0.125, 0.625], [0.625, 0.625, 0.125], [0.625, 0.625, 0.625], [0.813, 0.813, 0.187], [0.187, 0.187, 0.813], [0.813, 0.187, 0.813], [0.187, 0.813, 0.187], [0.187, 0.813, 0.813], [0.813, 0.187, 0.187], [0.437, 0.437, 0.063], [0.063, 0.063, 0.437], [0.437, 0.063, 0.437], [0.063, 0.437, 0.063], [0.063, 0.437, 0.437], [0.437, 0.063, 0.063], [0.752, 0.416, 0.416], [0.416, 0.752, 0.416], [0.416, 0.416, 0.752], [0.416, 0.416, 0.416], [0.498, 0.834, 0.834], [0.834, 0.498, 0.834], [0.834, 0.834, 0.498], [0.834, 0.834, 0.834], [0.625, 0.125, 0.125], [0.125, 0.625, 0.125], [0.125, 0.125, 0.625], [0.125, 0.125, 0.125]], "total_magnetization_mub_per_fu": 2.246, "dos_at_fermi_per_ev_atom": 0.88, "final_energy_ev_per_cell": -295.687, "crystal_system": "cubic"}



Record 4
{"formula": "HgBi2Au", "functional": "PBE", "state": "relaxed", "lattice_angstrom": [[3.478, 0.000, 0.000], [0.000, 3.478, 0.000], [0.000, 0.000, 8.819]], "species": ["Au", "Bi", "Bi", "Hg"], "fractional_positions": [[0.500, 0.500, 0.000], [0.000, 0.000, 0.781], [0.000, 0.000, 0.219], [0.500, 0.500, 0.500]], "total_magnetization_mub_per_fu": 0.000, "dos_at_fermi_per_ev_atom": 0.31, "formation_enthalpy_0k_ev_per_atom": 0.0509, "final_energy_ev_per_cell": -11.137, "crystal_system": "tetragonal"}



Record 5
{"formula": "BaCdAu5", "functional": "PBE", "state": "relaxed", "lattice_angstrom": [[-0.024, 3.574, -4.746], [-5.088, -6.123, -4.585], [-9.678, 5.118, 3.903]], "species": ["Ba", "Ba", "Ba", "Ba", "Cd", "Cd", "Cd", "Cd", "Au", "Au", "Au", "Au", "Au", "Au", "Au", "Au", "Au", "Au", "Au", "Au", "Au", "Au", "Au", "Au", "Au", "Au", "Au", "Au"], "fractional_positions": [[0.250, 0.242, 0.942], [0.750, 0.258, 0.442], [0.250, 0.742, 0.558], [0.750, 0.758, 0.058], [0.250, 0.853, 0.856], [0.750, 0.647, 0.356], [0.250, 0.353, 0.644], [0.750, 0.147, 0.144], [0.250, 0.599, 0.021], [0.750, 0.901, 0.521], [0.250, 0.099, 0.479], [0.750, 0.401, 0.979], [0.750, 0.320, 0.737], [0.250, 0.180, 0.237], [0.750, 0.820, 0.763], [0.250, 0.680, 0.263], [0.250, 0.925, 0.091], [0.750, 0.575, 0.591], [0.250, 0.425, 0.409], [0.750, 0.075, 0.909], [0.988, 0.434, 0.193], [0.012, 0.066, 0.693], [0.512, 0.934, 0.307], [0.488, 0.566, 0.807], [0.012, 0.566, 0.807], [0.988, 0.934, 0.307], [0.488, 0.066, 0.693], [0.512, 0.434, 0.193]], "total_magnetization_mub_per_fu": 0.000, "dos_at_fermi_per_ev_atom": 0.36, "formation_enthalpy_0k_ev_per_atom": -0.4054, "final_energy_ev_per_cell": -88.251, "crystal_system": "orthorhombic"}



Record 6
{"formula": "CeCrTc2", "functional": "PBE", "state": "relaxed", "lattice_angstrom": [[2.809, 0.000, 0.000], [1.404, 2.432, 0.000], [1.404, 0.811, 9.461]], "species": ["Cr", "Tc", "Tc", "Ce"], "fractional_positions": [[0.000, 0.000, 0.000], [0.736, 0.736, 0.792], [0.264, 0.264, 0.208], [0.500, 0.500, 0.500]], "total_magnetization_mub_per_fu": 0.001, "dos_at_fermi_per_ev_atom": 1.72, "formation_enthalpy_0k_ev_per_atom": 0.3105, "final_energy_ev_per_cell": -35.047, "crystal_system": "trigonal"}



Record 7
{"formula": "MnZn4Sb", "functional": "PBE", "state": "relaxed", "lattice_angstrom": [[-1.886, -0.168, 4.891], [1.375, 3.685, 3.469], [-3.515, 3.558, 1.579]], "species": ["Mn", "Zn", "Zn", "Zn", "Zn", "Sb"], "fractional_positions": [[0.750, 0.750, 0.750], [0.871, 0.376, 0.376], [0.376, 0.376, 0.871], [0.376, 0.871, 0.376], [0.376, 0.376, 0.376], [0.000, 0.000, 0.000]], "total_magnetization_mub_per_fu": 3.311, "dos_at_fermi_per_ev_atom": 0.71, "final_energy_ev_per_cell": -17.110, "crystal_system": "cubic"}



Record 8
{"formula": "Rb2SrTcCl6", "functional": "PBE", "state": "relaxed", "lattice_angstrom": [[-7.216, -1.252, 1.463], [1.907, -3.871, 6.095], [-2.841, 1.868, 6.650]], "species": ["Sr", "Tc", "Rb", "Rb", "Cl", "Cl", "Cl", "Cl", "Cl", "Cl"], "fractional_positions": [[0.500, 0.500, 0.000], [0.000, 0.000, 0.000], [0.750, 0.250, 0.500], [0.250, 0.750, 0.500], [0.232, 0.232, 0.536], [0.768, 0.768, 0.464], [0.232, 0.232, 0.000], [0.768, 0.768, 0.000], [0.768, 0.232, 0.000], [0.232, 0.768, 0.000]], "total_magnetization_mub_per_fu": 1.000, "dos_at_fermi_per_ev_atom": 1.31, "final_energy_ev_per_cell": -40.327, "crystal_system": "cubic"}



What did the fifth record say?
{"formula": "BaCdAu5", "functional": "PBE", "state": "relaxed", "lattice_angstrom": [[-0.024, 3.574, -4.746], [-5.088, -6.123, -4.585], [-9.678, 5.118, 3.903]], "species": ["Ba", "Ba", "Ba", "Ba", "Cd", "Cd", "Cd", "Cd", "Au", "Au", "Au", "Au", "Au", "Au", "Au", "Au", "Au", "Au", "Au", "Au", "Au", "Au", "Au", "Au", "Au", "Au", "Au", "Au"], "fractional_positions": [[0.250, 0.242, 0.942], [0.750, 0.258, 0.442], [0.250, 0.742, 0.558], [0.750, 0.758, 0.058], [0.250, 0.853, 0.856], [0.750, 0.647, 0.356], [0.250, 0.353, 0.644], [0.750, 0.147, 0.144], [0.250, 0.599, 0.021], [0.750, 0.901, 0.521], [0.250, 0.099, 0.479], [0.750, 0.401, 0.979], [0.750, 0.320, 0.737], [0.250, 0.180, 0.237], [0.750, 0.820, 0.763], [0.250, 0.680, 0.263], [0.250, 0.925, 0.091], [0.750, 0.575, 0.591], [0.250, 0.425, 0.409], [0.750, 0.075, 0.909], [0.988, 0.434, 0.193], [0.012, 0.066, 0.693], [0.512, 0.934, 0.307], [0.488, 0.566, 0.807], [0.012, 0.566, 0.807], [0.988, 0.934, 0.307], [0.488, 0.066, 0.693], [0.512, 0.434, 0.193]], "total_magnetization_mub_per_fu": 0.000, "dos_at_fermi_per_ev_atom": 0.36, "formation_enthalpy_0k_ev_per_atom": -0.4054, "final_energy_ev_per_cell": -88.251, "crystal_system": "orthorhombic"}